Record 1
{"formula": "Er2CuNi3Ge4", "functional": "PBE-GGA", "state": "relaxed", "total_magnetization_mub_per_cell": 0.0, "final_energy_ha_per_atom": -0.2034, "dos_at_fermi_per_ev_atom": 0.44, "delta_e_f_mev_per_atom": -630.8, "volume_a3_per_atom": 16.1, "lattice_angstrom": [[-2.2973, 0.8071, -3.2540], [1.9571, -2.8798, -2.0960], [-6.5390, -6.6106, 2.9769]], "species": ["Cu", "Ge", "Ni", "Er", "Er", "Ni", "Ge", "Ge", "Ge", "Ni"], "frac_coords": [[0.5000, 0.5000, 0.5000], [0.5000, 0.0000, 0.6367], [0.0000, 0.0000, 0.5000], [0.5000, 0.0000, 0.2511], [0.0000, 0.5000, 0.7489], [0.0000, 0.5000, 0.1255], [0.0000, 0.0000, 0.0000], [0.0000, 0.5000, 0.3633], [0.5000, 0.5000, 0.0000], [0.5000, 0.0000, 0.8745]]}

Record 2
{"formula": "ErCuNiGe2", "functional": "PBE-GGA", "state": "relaxed", "total_magnetization_mub_per_cell": 0.0, "final_energy_ha_per_atom": -0.1950, "dos_at_fermi_per_ev_atom": 0.55, "delta_e_f_mev_per_atom": -570.1, "volume_a3_per_atom": 16.4, "lattice_angstrom": [[4.0342, 0.0000, 0.0000], [0.0000, 4.0342, 0.0000], [-2.0171, -2.0171, 5.0424]], "species": ["Er", "Ge", "Cu", "Ni", "Ge"], "frac_coords": [[0.0000, 0.0000, 0.0000], [0.6224, 0.6224, 0.2449], [0.2500, 0.7500, 0.5000], [0.7500, 0.2500, 0.5000], [0.3776, 0.3776, 0.7551]]}

Record 3
{"formula": "ErPaCu2Ge2", "functional": "PBE-GGA", "state": "relaxed", "total_magnetization_mub_per_cell": 0.0, "final_energy_ha_per_atom": -0.2122, "dos_at_fermi_per_ev_atom": 0.97, "delta_e_f_mev_per_atom": -527.4, "volume_a3_per_atom": 19.1, "lattice_angstrom": [[-0.4944, 1.0384, 4.0092], [-3.3357, -0.7867, -2.3772], [0.3461, -7.3450, 1.9450]], "species": ["Pa", "Cu", "Er", "Cu", "Ge", "Ge"], "frac_coords": [[0.0000, 0.0000, 0.0000], [0.3333, 0.6667, 0.7608], [0.0000, 0.0000, 0.5000], [0.6667, 0.3333, 0.2392], [0.6667, 0.3333, 0.7484], [0.3333, 0.6667, 0.2516]]}

Record 4
{"formula": "ErPaCuGe", "functional": "PBE-GGA", "state": "relaxed", "total_magnetization_mub_per_cell": 0.1, "final_energy_ha_per_atom": -0.2170, "dos_at_fermi_per_ev_atom": 1.18, "delta_e_f_mev_per_atom": -212.1, "volume_a3_per_atom": 21.2, "lattice_angstrom": [[-3.9566, 2.7063, -1.1602], [-4.4973, -2.0194, 0.1439], [-3.1914, 1.3352, 3.5152]], "species": ["Pa", "Er", "Ge", "Cu"], "frac_coords": [[0.0000, 0.0000, 0.0000], [0.5000, 0.5000, 0.5000], [0.7500, 0.7500, 0.7500], [0.2500, 0.2500, 0.2500]]}

Record 5
{"formula": "ErCuGe2Pd", "functional": "PBE-GGA", "state": "relaxed", "total_magnetization_mub_per_cell": 0.0, "final_energy_ha_per_atom": -0.1926, "dos_at_fermi_per_ev_atom": 0.49, "delta_e_f_mev_per_atom": -624.2, "volume_a3_per_atom": 17.7, "lattice_angstrom": [[4.1177, 0.0000, 0.0000], [0.0000, 4.1177, 0.0000], [-2.0588, -2.0588, 5.2119]], "species": ["Er", "Ge", "Ge", "Pd", "Cu"], "frac_coords": [[0.0000, 0.0000, 0.0000], [0.3833, 0.3833, 0.7667], [0.6167, 0.6167, 0.2333], [0.7500, 0.2500, 0.5000], [0.2500, 0.7500, 0.5000]]}

Record 6
{"formula": "Pm2ErCu3Ge4", "functional": "PBE-GGA", "state": "relaxed", "total_magnetization_mub_per_cell": 0.0, "final_energy_ha_per_atom": -0.1842, "dos_at_fermi_per_ev_atom": 0.23, "delta_e_f_mev_per_atom": -530.0, "volume_a3_per_atom": 19.9, "lattice_angstrom": [[-1.0639, 4.1201, 0.5068], [-2.2892, -1.0188, 3.4765], [8.7600, 1.4985, 6.2075]], "species": ["Pm", "Er", "Cu", "Ge", "Cu", "Ge", "Ge", "Pm", "Cu", "Ge"], "frac_coords": [[0.5000, 0.0000, 0.2240], [0.5000, 0.5000, 0.5000], [0.0000, 0.0000, 0.5000], [0.5000, 0.5000, 0.0000], [0.0000, 0.5000, 0.1176], [0.5000, 0.0000, 0.6609], [0.0000, 0.0000, 0.0000], [0.0000, 0.5000, 0.7760], [0.5000, 0.0000, 0.8824], [0.0000, 0.5000, 0.3391]]}

Record 7
{"formula": "PmErCuGe", "functional": "PBE-GGA", "state": "relaxed", "total_magnetization_mub_per_cell": 0.0, "final_energy_ha_per_atom": -0.1832, "dos_at_fermi_per_ev_atom": 0.79, "delta_e_f_mev_per_atom": -477.6, "volume_a3_per_atom": 22.3, "lattice_angstrom": [[5.0170, 0.0000, 0.0000], [2.5085, 4.3448, 0.0000], [2.5085, 1.4483, 4.0964]], "species": ["Er", "Cu", "Pm", "Ge"], "frac_coords": [[0.0000, 0.0000, 0.0000], [0.7500, 0.7500, 0.7500], [0.5000, 0.5000, 0.5000], [0.2500, 0.2500, 0.2500]]}

Record 8
{"formula": "Pr2ErCu2Ge2", "functional": "PBE-GGA", "state": "relaxed", "total_magnetization_mub_per_cell": 0.0, "final_energy_ha_per_atom": -0.1841, "dos_at_fermi_per_ev_atom": 0.78, "delta_e_f_mev_per_atom": -503.8, "volume_a3_per_atom": 23.3, "lattice_angstrom": [[-2.6886, 1.4329, 2.9699], [0.9153, -0.5122, 4.1234], [4.3446, 9.4775, 2.4079]], "species": ["Pr", "Ge", "Er", "Ge", "Pr", "Cu", "Cu"], "frac_coords": [[0.1194, 0.1194, 0.6417], [0.7246, 0.7246, 0.8261], [0.0000, 0.0000, 0.0000], [0.2754, 0.2754, 0.1739], [0.8806, 0.8806, 0.3583], [0.3861, 0.3861, 0.8418], [0.6139, 0.6139, 0.1582]]}